An optimized crystal structure of SrTl2SnI6. Source: the Alexandria database, functional PBE.

```
data_SrTl2SnI6
_cell_length_a 8.1946
_cell_length_b 8.9491
_cell_length_c 14.4736
_cell_angle_alpha 90.00
_cell_angle_beta 123.31
_cell_angle_gamma 90.00
_space_group_name_H-M_alt 'P 1 21/c 1'
_space_group_IT_number 14
loop_
_space_group_symop_operation_xyz
'x,y,z'
'-x,-y,-z'
'-x,y+1/2,-z+1/2'
'x,-y+1/2,z+1/2'
loop_
_atom_site_label
_atom_site_fract_x
_atom_site_fract_y
_atom_site_fract_z
Sr1 0.0000 0.0000 0.0000
Tl1 0.3000 0.1016 0.7579
Sn1 0.5000 0.0000 0.5000
I1 0.1152 0.0398 0.2557
I2 0.2465 0.6828 0.0682
I3 0.3927 0.1892 0.0640
```

## Properties
- ρ: 5.153 g/cm3
- D(E_F): 0.0 states/eV/cell
- Formation energy without anion corrections: -0.911 eV/atom

---

An optimized crystal structure of YFeTc2. Source: the Alexandria database, functional PBE.

```
data_YFeTc2
_cell_length_a 4.4649
_cell_length_b 4.4649
_cell_length_c 3.3268
_cell_angle_alpha 90.00
_cell_angle_beta 90.00
_cell_angle_gamma 90.00
_space_group_name_H-M_alt 'P 4/m m m'
_space_group_IT_number 123
_space_group_name_Hall '-P 4 2'
loop_
_atom_site_label
_atom_site_fract_x
_atom_site_fract_y
_atom_site_fract_z
Y1 0.0000 0.0000 0.0000
Fe1 0.5000 0.5000 0.0000
Tc1 0.0000 0.5000 0.5000
```

## Properties
- ρ: 8.532 g/cm3
- D(E_F): 4.6 states/eV/cell
- Formation enthalpy at 0 K: 0.416 eV per atom
- Offset from the most stable computed form: 26.14 kJ/mol of atoms

---

An optimized crystal structure of TiNbNi. Source: the Alexandria database, functional PBE.

```
data_TiNbNi
_cell_length_a 9.3746
_cell_length_b 3.4605
_cell_length_c 6.0597
_cell_angle_alpha 90.00
_cell_angle_beta 110.95
_cell_angle_gamma 90.00
_space_group_name_H-M_alt 'C 1 m 1'
_space_group_IT_number 8
loop_
_space_group_symop_operation_xyz
'x,y,z'
'x,-y,z'
'x+1/2,y+1/2,z'
'x+1/2,-y+1/2,z'
loop_
_atom_site_label
_atom_site_fract_x
_atom_site_fract_y
_atom_site_fract_z
Ti1 0.0000 0.0000 0.0000
Ti2 0.1644 0.5000 0.8284
Nb1 0.1963 0.5000 0.3706
Nb2 0.3489 0.0000 0.1908
Ni1 0.0221 0.0000 0.5201
Ni2 0.3429 0.0000 0.6945
```

## Properties
- ρ: 7.217 g/cm3
- D(E_F): 13.9 states/eV/cell
- Formation enthalpy at 0 K: -0.121 eV per atom
- Offset from the most stable computed form: 12.37 kJ/mol of atoms

---

Number 1: DFT total energy -28.825 eV per formula unit. Number 2: DFT total energy -33.995 eV per formula unit. Number 3: DFT total energy -24.109 eV per formula unit.